No. 1
First-principles (PBE-GGA) data for a relaxed structure of PmTcPH2, as listed in Alexandria.

Calculated values
- SG = Cmcm, No. 63

Cell: 5.554 5.554 6.130 Å, 90.00 90.00 139.80°
Atoms (fractional coordinates):
1 Pm 0.211 0.789 0.750
2 Pm 0.789 0.211 0.250
3 Tc 0.500 0.500 0.000
4 Tc 0.500 0.500 0.500
5 P 0.069 0.931 0.250
6 P 0.931 0.069 0.750
7 H 0.334 0.666 0.059
8 H 0.334 0.666 0.441
9 H 0.666 0.334 0.559
10 H 0.666 0.334 0.941

No. 2
First-principles (PBE-GGA) data for a relaxed structure of RbCeAuSe3, as listed in Alexandria.

Calculated values
- uncorrected formation energy (eV per atom) = -1.2402
- SG = Cmcm, No. 63

Cell: 7.998 7.998 10.896 Å, 90.00 90.00 148.95°
Atoms (fractional coordinates):
1 Rb 0.249 0.751 0.750
2 Rb 0.751 0.249 0.250
3 Ce 0.500 0.500 0.000
4 Ce 0.500 0.500 0.500
5 Au 0.040 0.960 0.250
6 Au 0.960 0.040 0.750
7 Se 0.124 0.876 0.045
8 Se 0.124 0.876 0.455
9 Se 0.434 0.566 0.250
10 Se 0.566 0.434 0.750
11 Se 0.876 0.124 0.545
12 Se 0.876 0.124 0.955

No. 3
First-principles (PBE-GGA) data for a relaxed structure of SrZn2SiIr, as listed in Alexandria.

Calculated values
- energy relative to the lowest polymorph listed for this composition (meV/atom) = 0.0
- uncorrected formation energy (eV per atom) = -0.3627
- SG = Imm2, No. 44

Cell: 6.198 6.198 6.198 Å, 141.51 139.47 57.13°
Atoms (fractional coordinates):
1 Sr 0.000 0.000 0.000
2 Zn 0.617 0.617 0.000
3 Zn 0.754 0.254 0.500
4 Si 0.374 0.374 0.000
5 Ir 0.260 0.760 0.500

| no. | raw total energy (eV per formula unit) |
| --- | --- |
| 1 | -30.52 |
| 2 | -28.07 |
| 3 | -20.33 |